(1)
The following is a DFT calculation (PBE-GGA) of crystalline PmHo5Ir4 at its relaxed geometry.

Values from the calculation:
Calculated formation energy   -0.750 eV per atom

Unit cell a=14.563 b=4.833 c=6.772 alpha=90.00 beta=90.46 gamma=90.00
Space group C2/m (No. 12)
Symmetry-distinct sites (fractional):
1 Pm 0.000 0.000 0.000 x2
2 Ho 0.000 0.000 0.500 x2
3 Ho 0.167 0.500 0.498 x4
4 Ho 0.168 0.500 0.998 x4
5 Ir 0.003 0.500 0.256 x4
6 Ir 0.168 0.000 0.749 x4

(2)
The following is a DFT calculation (PBE-GGA) of crystalline Ac2BePd4Au2 at its relaxed geometry.

Values from the calculation:
Calculated formation energy   -0.665 eV per atom

Unit cell a=6.432 b=6.432 c=8.794 alpha=90.00 beta=90.00 gamma=90.00
Space group I4/mmm (No. 139)
Symmetry-distinct sites (fractional):
1 Ac 0.000 0.500 0.250 x4
2 Be 0.000 0.000 0.000 x2
3 Pd 0.235 0.235 0.500 x8
4 Au 0.000 0.000 0.265 x4

(3)
The following is a DFT calculation (PBE-GGA) of crystalline Y2Mg3Cu2 at its relaxed geometry.

Values from the calculation:
Calculated formation energy   -0.177 eV per atom

Unit cell a=10.534 b=3.932 c=7.528 alpha=90.00 beta=96.99 gamma=90.00
Space group C2/m (No. 12)
Symmetry-distinct sites (fractional):
1 Y 0.126 0.000 0.361 x4
2 Mg 0.000 0.500 0.000 x2
3 Mg 0.185 0.000 0.858 x4
4 Cu 0.083 0.500 0.640 x4

(4)
The following is a DFT calculation (PBE-GGA) of crystalline Dy8Cd2Co at its relaxed geometry.

Values from the calculation:
Calculated formation energy   -0.118 eV per atom

Unit cell a=17.333 b=5.400 c=6.850 alpha=90.00 beta=110.49 gamma=90.00
Space group C2/m (No. 12)
Symmetry-distinct sites (fractional):
1 Dy 0.018 0.000 0.283 x4
2 Dy 0.092 0.500 0.912 x4
3 Dy 0.146 0.500 0.441 x4
4 Dy 0.198 0.000 0.776 x4
5 Cd 0.183 0.000 0.205 x4
6 Co 0.000 0.500 0.500 x2

(5)
The following is a DFT calculation (PBE-GGA) of crystalline CsV2HgMo at its relaxed geometry.

Values from the calculation:
Calculated formation energy   2.906 eV per atom

Unit cell a=5.064 b=5.064 c=5.868 alpha=90.00 beta=90.00 gamma=90.00
Space group P4/mmm (No. 123)
Symmetry-distinct sites (fractional):
1 Cs 0.000 0.000 0.000 x1
2 V 0.000 0.500 0.000 x2
3 Hg 0.000 0.000 0.500 x1
4 Mo 0.500 0.500 0.500 x1

(6)
The following is a DFT calculation (PBE-GGA) of crystalline BaSi2Se at its relaxed geometry.

Values from the calculation:
Formation energy (no corrections)   -0.15 eV/atom

Unit cell a=3.942 b=3.942 c=6.543 alpha=90.00 beta=90.00 gamma=90.00
Space group P4mm (No. 99)
Symmetry-distinct sites (fractional):
1 Ba 0.000 0.000 0.000 x1
2 Si 0.000 0.000 0.522 x1
3 Si 0.500 0.500 0.617 x1
4 Se 0.500 0.500 0.250 x1

(7)
The following is a DFT calculation (PBE-GGA) of crystalline Li3ReBr8 at its relaxed geometry.

Values from the calculation:
Formation energy (no corrections)   -0.84 eV/atom

Unit cell a=8.194 b=10.594 c=7.908 alpha=90.00 beta=90.00 gamma=90.00
Space group C222 (No. 21)
Symmetry-distinct sites (fractional):
1 Li 0.000 0.000 0.000 x2
2 Li 0.250 0.250 0.819 x4
3 Re 0.000 0.000 0.500 x2
4 Br 0.000 0.233 0.500 x4
5 Br 0.000 0.246 0.000 x4
6 Br 0.220 0.003 0.724 x8

(8)
The following is a DFT calculation (PBE-GGA) of crystalline Nd2TmMn at its relaxed geometry.

Values from the calculation:
Calculated formation energy   0.182 eV per atom

Unit cell a=3.624 b=3.624 c=8.783 alpha=90.00 beta=90.00 gamma=90.00
Space group P4/mmm (No. 123)
Symmetry-distinct sites (fractional):
1 Nd 0.000 0.000 0.213 x2
2 Tm 0.500 0.500 0.500 x1
3 Mn 0.500 0.500 0.000 x1

(9)
The following is a DFT calculation (PBE-GGA) of crystalline La3DyEr4 at its relaxed geometry.

Values from the calculation:
Calculated formation energy   0.142 eV per atom

Unit cell a=3.495 b=11.777 c=13.097 alpha=90.00 beta=90.00 gamma=90.00
Space group Immm (No. 71)
Symmetry-distinct sites (fractional):
1 La 0.000 0.000 0.000 x2
2 La 0.000 0.500 0.244 x4
3 Dy 0.000 0.000 0.500 x2
4 Er 0.000 0.245 0.366 x8